# 1
A relaxed structure of KNa10In3. Source: Alexandria via LeMat-Bulk, functional GGA-PBE. Values from VASP.

Cell and atoms, written as Quantum ESPRESSO input:
```
&SYSTEM
  ibrav = 0, nat = 28, ntyp = 3
/
ATOMIC_SPECIES
In 114.82 In.upf
Na 22.99 Na.upf
K 39.10 K.upf
CELL_PARAMETERS angstrom
9.9777 0.0000 5.7606
3.3259 9.4070 5.7606
0.0000 0.0000 11.5212
ATOMIC_POSITIONS crystal
In 0.2677 0.7323 0.7323
In 0.7323 0.2677 0.7323
In 0.7323 0.2677 0.2677
In 0.2677 0.2677 0.7323
In 0.2677 0.7323 0.2677
In 0.7323 0.7323 0.2677
Na 0.8382 0.3873 0.3873
Na 0.6127 0.6127 0.6127
Na 0.1618 0.6127 0.6127
Na 0.6624 0.0000 0.3376
Na 0.3873 0.8382 0.3873
Na 0.6127 0.1618 0.6127
Na 0.3873 0.3873 0.3873
Na 0.0000 0.6624 0.0000
Na 0.0000 0.0000 0.3376
Na 0.6624 0.0000 0.0000
Na 0.6127 0.6127 0.1618
Na 0.3873 0.3873 0.8382
Na 0.3376 0.0000 0.6624
Na 0.0000 0.3376 0.0000
Na 0.0000 0.6624 0.3376
Na 0.3376 0.0000 0.0000
Na 0.6624 0.3376 0.0000
Na 0.0000 0.3376 0.6624
Na 0.0000 0.0000 0.6624
Na 0.3376 0.6624 0.0000
K 0.2500 0.2500 0.2500
K 0.7500 0.7500 0.7500
```

The value obtained for the formation energy is 0.02 eV per atom. Its total moment is 0.00 Bohr magnetons per cell. The space group is Fm-3m, No. 225. The density of states at the Fermi level is 20.54 states/eV/cell.

# 2
A relaxed structure of KNa2In. Source: Alexandria via LeMat-Bulk, functional GGA-PBE. Values from VASP.

Cell and atoms, written as Quantum ESPRESSO input:
```
&SYSTEM
  ibrav = 0, nat = 8, ntyp = 3
/
ATOMIC_SPECIES
Na 22.99 Na.upf
In 114.82 In.upf
K 39.10 K.upf
CELL_PARAMETERS angstrom
-4.7590 1.7056 -2.5427
3.5729 -0.4975 -7.0210
-2.9531 -7.2927 0.6352
ATOMIC_POSITIONS crystal
Na 0.2500 0.1319 0.6462
Na 0.2500 0.6462 0.1319
Na 0.7500 0.3538 0.8681
Na 0.7500 0.8681 0.3538
In 0.0000 0.0000 0.0000
In 0.5000 0.0000 0.0000
K 0.7500 0.3425 0.3425
K 0.2500 0.6575 0.6575
```

The value obtained for the formation energy is 0.07 eV per atom. Its total moment is 0.00 Bohr magnetons per cell. The space group is Cmcm, No. 63. The density of states at the Fermi level is 5.13 states/eV/cell.

# 3
A relaxed structure of K3Na2In4. Source: Alexandria via LeMat-Bulk, functional GGA-PBE. Values from VASP.

Cell and atoms, written as Quantum ESPRESSO input:
```
&SYSTEM
  ibrav = 0, nat = 9, ntyp = 3
/
ATOMIC_SPECIES
In 114.82 In.upf
Na 22.99 Na.upf
K 39.10 K.upf
CELL_PARAMETERS angstrom
-3.7121 -2.6297 -3.3693
-5.2445 -3.2123 3.5487
-8.5249 4.6610 0.9915
ATOMIC_POSITIONS crystal
In 0.1117 0.3621 0.4115
In 0.7378 0.6005 0.9244
In 0.2622 0.3995 0.0756
In 0.8883 0.6379 0.5885
Na 0.7476 0.1804 0.3227
Na 0.2524 0.8196 0.6773
K 0.4710 0.7698 0.2879
K 0.0000 0.0000 0.0000
K 0.5290 0.2302 0.7121
```

The value obtained for the formation energy is -0.07 eV per atom. Its total moment is 0.00 Bohr magnetons per cell. The space group is P-1, No. 2. The density of states at the Fermi level is 4.78 states/eV/cell.

# 4
A relaxed structure of KNa3In. Source: Alexandria via LeMat-Bulk, functional GGA-PBE. Values from VASP.

Cell and atoms, written as Quantum ESPRESSO input:
```
&SYSTEM
  ibrav = 0, nat = 10, ntyp = 3
/
ATOMIC_SPECIES
Na 22.99 Na.upf
K 39.10 K.upf
In 114.82 In.upf
CELL_PARAMETERS angstrom
6.4288 -0.0688 2.8356
-1.4307 6.6190 3.4876
-0.2429 -0.2676 8.9331
ATOMIC_POSITIONS crystal
Na 0.8931 0.1587 0.6398
Na 0.8954 0.6626 0.6348
Na 0.5374 0.2670 0.9294
Na 0.7983 0.4392 0.1211
Na 0.7987 0.9026 0.1276
Na 0.0873 0.1088 0.2561
K 0.3962 0.9205 0.6169
K 0.2681 0.6302 0.2084
In 0.5728 0.4759 0.5028
In 0.1475 0.3197 0.8164
```

The value obtained for the formation energy is 0.00 eV per atom. Its total moment is 0.00 Bohr magnetons per cell. The space group is P1, No. 1. As for the relative energy among the computed polymorphs: 20 meV/atom. The density of states at the Fermi level is 5.20 states/eV/cell.

# 5
A relaxed structure of K3Na8In. Source: Alexandria via LeMat-Bulk, functional GGA-PBE. Values from VASP.

Cell and atoms, written as Quantum ESPRESSO input:
```
&SYSTEM
  ibrav = 0, nat = 12, ntyp = 3
/
ATOMIC_SPECIES
Na 22.99 Na.upf
K 39.10 K.upf
In 114.82 In.upf
CELL_PARAMETERS angstrom
-2.7823 6.5431 0.4322
-6.9189 0.8381 1.4720
-0.8281 2.7472 11.7785
ATOMIC_POSITIONS crystal
Na 0.5664 0.5664 0.7965
Na 0.8108 0.8108 0.5676
Na 0.5452 0.0604 0.3339
Na 0.3123 0.3123 0.0630
Na 0.0604 0.0604 0.3339
Na 0.0706 0.5664 0.7965
Na 0.0604 0.5452 0.3339
Na 0.5664 0.0706 0.7965
K 0.0096 0.0096 0.9711
K 0.6249 0.6249 0.1252
K 0.4958 0.4958 0.5125
In 0.1269 0.1269 0.6194
```

The value obtained for the formation energy is 0.03 eV per atom. Its total moment is 0.00 Bohr magnetons per cell. The space group is R3m, No. 160. The density of states at the Fermi level is 6.71 states/eV/cell.

# 6
A relaxed structure of K2Na3In. Source: Alexandria via LeMat-Bulk, functional GGA-PBE. Values from VASP.

Cell and atoms, written as Quantum ESPRESSO input:
```
&SYSTEM
  ibrav = 0, nat = 6, ntyp = 3
/
ATOMIC_SPECIES
Na 22.99 Na.upf
In 114.82 In.upf
K 39.10 K.upf
CELL_PARAMETERS angstrom
-3.5404 1.1679 -4.4106
-5.3869 -0.3369 4.2349
5.0448 6.0933 1.3449
ATOMIC_POSITIONS crystal
Na 0.0000 0.0000 0.0000
Na 0.6134 0.6134 0.2268
Na 0.3866 0.3866 0.7732
In 0.0000 0.5000 0.0000
K 0.2954 0.7954 0.5907
K 0.7046 0.2046 0.4093
```

The value obtained for the formation energy is 0.06 eV per atom. Its total moment is 0.00 Bohr magnetons per cell. The space group is Immm, No. 71. As for the relative energy among the computed polymorphs: 91 meV/atom. The density of states at the Fermi level is 2.37 states/eV/cell.